1.
VASP calculation (GGA-PBE) on an optimized crystal structure of LiAsHRh2.

Calculated values
Total DFT energy (no corrections): -5.340 eV/atom
Magnetic moment: 0.000 μB/atom

abc: 3.9661 3.9661 3.5538
angles: 90.00 90.00 90.00
Closest atoms and distances in Å follow each position.
Space group P4/mmm (No. 123)
Inequivalent atoms, fractional coordinates:
Li 0.0000 0.0000 0.0000 [1 per cell]  2 H 1.78
As 0.5000 0.5000 0.0000 [1 per cell]  8 Rh 2.66, 4 Li 2.80
H 0.0000 0.0000 0.5000 [1 per cell]  2 Li 1.78, 4 Rh 1.98
Rh 0.0000 0.5000 0.5000 [2 per cell]  2 H 1.98


2.
VASP calculation (GGA-PBE) on an optimized crystal structure of TlAsHSe2.

Calculated values
Magnetic moment: 0.458 μB/atom
ΔE to the lowest computed polymorph: 1276 meV per atom

abc: 5.4839 5.4839 5.5254
angles: 90.00 90.00 90.00
Closest atoms and distances in Å follow each position.
Space group P4/mmm (No. 123)
Inequivalent atoms, fractional coordinates:
Tl 0.0000 0.0000 0.0000 [1 per cell]  4 Se 2.74, 2 As 2.76
As 0.0000 0.0000 0.5000 [1 per cell]  2 Tl 2.76
H 0.5000 0.5000 0.5000 [1 per cell]  4 As 3.88, 8 Se 3.89
Se 0.0000 0.5000 0.0000 [2 per cell]  2 Tl 2.74


3.
VASP calculation (GGA-PBE) on an optimized crystal structure of Al2RePt.

Calculated values
Magnetic moment: 0.000 μB/atom
Formation enthalpy at 0 K: -0.054 eV/atom
ΔE to the lowest computed polymorph: 547 meV per atom

abc: 6.2303 6.2303 6.2303
angles: 90.00 90.00 90.00
Closest atoms and distances in Å follow each position.
Space group F-43m (No. 216)
Inequivalent atoms, fractional coordinates:
Al 0.0000 0.0000 0.0000 [4 per cell]  4 Re 2.70, 4 Al 2.70
Al 0.2500 0.2500 0.2500 [4 per cell]  4 Pt 2.70, 4 Al 2.70
Re 0.2500 0.2500 0.7500 [4 per cell]  4 Al 2.70, 4 Pt 2.70
Pt 0.0000 0.0000 0.5000 [4 per cell]  4 Re 2.70, 4 Al 2.70


4.
VASP calculation (GGA-PBE) on an optimized crystal structure of Y4C3.

Calculated values
Magnetic moment: 0.000 μB/atom
Formation enthalpy at 0 K: -0.019 eV/atom
ΔE to the lowest computed polymorph: 210 meV per atom

abc: 3.5155 3.5155 20.3705
angles: 90.00 90.00 90.00
Closest atoms and distances in Å follow each position.
Space group I4/mmm (No. 139)
Inequivalent atoms, fractional coordinates:
Y 0.0000 0.0000 0.0659 [4 per cell]  1 C 2.31
Y 0.0000 0.0000 0.3089 [4 per cell]  5 C 2.50-2.64
C 0.0000 0.0000 0.1793 [4 per cell]  5 Y 2.31-2.50
C 0.0000 0.0000 0.5000 [2 per cell]  8 Y 2.83